(1)
TlWOF2: relaxed, PBE+U.

Geometry as CIF:
```
data_TlWOF2
_chemical_formula_sum 'Tl1 W1 O1 F2'
_cell_length_a 4.3518
_cell_length_b 4.3518
_cell_length_c 4.2696
_cell_angle_alpha 90.00
_cell_angle_beta 90.00
_cell_angle_gamma 90.00
_space_group_name_H-M_alt 'P 4/m m m'
_space_group_IT_number 123
_space_group_name_Hall '-P 4 2'
loop_
_atom_site_label
_atom_site_fract_x
_atom_site_fract_y
_atom_site_fract_z
Tl1 0.0000 0.0000 0.0000
W1 0.5000 0.5000 0.5000
O1 0.5000 0.5000 0.0000
F1 0.0000 0.5000 0.5000
```

## Properties
DOS(E_F), states/eV/f.u.: 0.099
VASP energy, Ha/atom: -0.199
Magnetization, μB/f.u.: 3.0

***

(2)
TlWO2F: relaxed, PBE+U.

Geometry as CIF:
```
data_TlWO2F
_chemical_formula_sum 'Tl1 W1 O2 F1'
_cell_length_a 4.3576
_cell_length_b 4.3576
_cell_length_c 4.3196
_cell_angle_alpha 90.00
_cell_angle_beta 90.00
_cell_angle_gamma 90.00
_space_group_name_H-M_alt 'P 4/m m m'
_space_group_IT_number 123
_space_group_name_Hall '-P 4 2'
loop_
_atom_site_label
_atom_site_fract_x
_atom_site_fract_y
_atom_site_fract_z
Tl1 0.0000 0.0000 0.0000
W1 0.5000 0.5000 0.5000
O1 0.0000 0.5000 0.0000
F1 0.0000 0.0000 0.5000
```

## Properties
DOS(E_F), states/eV/f.u.: 2.428
VASP energy, Ha/atom: -0.158
Magnetization, μB/f.u.: 3.8

***

(3)
TlWO3F: relaxed, PBE+U.

Geometry as CIF:
```
data_TlWO3F
_chemical_formula_sum 'Tl4 W4 O12 F4'
_cell_length_a 5.2379
_cell_length_b 19.4738
_cell_length_c 5.5139
_cell_angle_alpha 90.00
_cell_angle_beta 92.41
_cell_angle_gamma 90.00
_space_group_name_H-M_alt 'C 1 2/c 1'
_space_group_IT_number 15
loop_
_space_group_symop_operation_xyz
'x,y,z'
'-x,-y,-z'
'-x,y,-z+1/2'
'x,-y,z+1/2'
'x+1/2,y+1/2,z'
'-x+1/2,-y+1/2,-z'
'-x+1/2,y+1/2,-z+1/2'
'x+1/2,-y+1/2,z+1/2'
loop_
_atom_site_label
_atom_site_fract_x
_atom_site_fract_y
_atom_site_fract_z
Tl1 0.0000 0.2393 0.2500
W1 0.0000 0.4695 0.7500
O1 0.0000 0.3806 0.7500
O2 0.2377 0.4997 0.0103
F1 0.0000 0.2179 0.7500
```

## Properties
DOS(E_F), states/eV/f.u.: 0.438
VASP energy, Ha/atom: -0.223
Magnetization, μB/f.u.: 0.0

***

(4)
TlWOF2: relaxed, PBE+U.

Geometry as CIF:
```
data_TlWOF2
_chemical_formula_sum 'Tl1 W1 O1 F2'
_cell_length_a 4.5384
_cell_length_b 4.5384
_cell_length_c 4.3769
_cell_angle_alpha 90.00
_cell_angle_beta 90.00
_cell_angle_gamma 90.00
_space_group_name_H-M_alt 'P 4/m m m'
_space_group_IT_number 123
_space_group_name_Hall '-P 4 2'
loop_
_atom_site_label
_atom_site_fract_x
_atom_site_fract_y
_atom_site_fract_z
Tl1 0.0000 0.0000 0.0000
W1 0.5000 0.5000 0.5000
O1 0.0000 0.0000 0.5000
F1 0.0000 0.5000 0.0000
```

## Properties
DOS(E_F), states/eV/f.u.: 1.611
VASP energy, Ha/atom: -0.151
Magnetization, μB/f.u.: 4.5